No. 1
Li7Ag3Pd2: relaxed, PBE.

Unit cell a=4.542 b=2.872 c=15.210 alpha=90.00 beta=98.31 gamma=90.00
Fractional coordinates of all 12 atoms:
Li1 0.000 0.000 0.000
Li2 0.105 0.500 0.215
Li3 0.272 0.500 0.545
Li4 0.426 0.000 0.851
Li5 0.574 0.000 0.149
Li6 0.728 0.500 0.455
Li7 0.895 0.500 0.785
Ag1 0.186 0.000 0.376
Ag2 0.500 0.500 0.000
Ag3 0.814 0.000 0.624
Pd1 0.357 0.500 0.708
Pd2 0.643 0.500 0.292

Summary:
ΔE_f	-0.21	eV per atom
excess energy over the best structure of this formula in the dataset	0	meV/atom
spin magnetization	0.0	μB per cell
ρ	4.95	g/cm3

***

No. 2
LiAg5Pd: relaxed, PBE.

Unit cell a=4.863 b=4.863 c=10.868 alpha=90.00 beta=90.00 gamma=78.85
Fractional coordinates of all 14 atoms:
Li1 0.142 0.858 0.750
Li2 0.858 0.142 0.250
Ag1 0.048 0.347 0.613
Ag2 0.048 0.347 0.887
Ag3 0.347 0.048 0.113
Ag4 0.347 0.048 0.387
Ag5 0.449 0.551 0.250
Ag6 0.551 0.449 0.750
Ag7 0.653 0.952 0.613
Ag8 0.653 0.952 0.887
Ag9 0.952 0.653 0.113
Ag10 0.952 0.653 0.387
Pd1 0.500 0.500 0.000
Pd2 0.500 0.500 0.500

Summary:
ΔE_f	-0.03	eV per atom
excess energy over the best structure of this formula in the dataset	0	meV/atom
spin magnetization	0.0	μB per cell
ρ	8.59	g/cm3

***

What is the spin magnetization in the first record? 0.0 μB per cell

***

What is the ρ in the first record? 4.95 g/cm3

***

Which of these has the highest ΔE_f? LiAg5Pd